# 1
A relaxed structure of MnAl2Au2, computed with PBE.

Cell: 7.164 7.164 3.260 Å, 90.00 90.00 90.00°
Element x y z (fractional)
Mn 0.000 0.000 0.000
Mn 0.500 0.500 0.000
Au 0.156 0.656 0.500
Au 0.656 0.844 0.500
Au 0.844 0.344 0.500
Au 0.344 0.156 0.500
Al 0.356 0.856 0.000
Al 0.856 0.644 0.000
Al 0.644 0.144 0.000
Al 0.144 0.356 0.000

Calculated values
density of states at the Fermi level	4.6	states/eV/cell
space group	P4/mbm, No. 127
energy of formation from the pure elements	-102	meV/atom

# 2
A relaxed structure of AcTbY3, computed with PBE.

Cell: 5.146 11.028 7.293 Å, 59.88 90.00 103.52°
Element x y z (fractional)
Ac 0.419 0.872 0.366
Ac 0.625 0.282 0.056
Tb 0.222 0.478 0.654
Tb 0.822 0.676 0.768
Y 0.022 0.076 0.469
Y 0.422 0.878 0.862
Y 0.622 0.276 0.560
Y 0.022 0.078 0.952
Y 0.225 0.484 0.161
Y 0.819 0.670 0.261

Calculated values
density of states at the Fermi level	15.6	states/eV/cell
space group	C2/m, No. 12
energy of formation from the pure elements	47	meV/atom

# 3
A relaxed structure of K2ReBr, computed with PBE.

Cell: 3.633 9.680 15.277 Å, 90.00 90.14 90.00°
Element x y z (fractional)
Re 0.645 0.000 0.911
Re 0.645 0.500 0.411
Re 0.144 0.000 0.816
Re 0.144 0.500 0.316
K 0.636 0.820 0.347
K 0.636 0.180 0.347
K 0.636 0.320 0.847
K 0.636 0.680 0.847
K 0.634 0.260 0.104
K 0.634 0.740 0.104
K 0.634 0.760 0.604
K 0.634 0.240 0.604
Br 0.135 0.000 0.202
Br 0.135 0.500 0.702
Br 0.135 0.000 0.494
Br 0.135 0.500 0.994

Calculated values
uncorrected formation energy	-114.0	meV/atom
density of states at the Fermi level	4.6	states/eV/cell
space group	Cm, No. 8

no.,relative energy among the computed polymorphs (eV/f.u.),magnetic moment (μB per cell)
1,0.14,6.480
2,0.00,0.000
3,0.24,0.000